Entry 1:
Below is a geometry-optimized BaCu2W structure, with properties calculated at the PBEsol level.

space group = Fm-3m, No. 225
total magnetization = 2.97 μB per cell
distance to the lowest polymorph of the same formula = 615 meV per atom
total DFT energy (no corrections) = -4.925 eV/atom
calculated formation energy = 118.77 kJ per mole of atoms

Lattice parameters (Å, degrees): 4.828 4.828 4.828 60.00 60.00 60.00
Each line ends with the local moment (μB).
Sites, in units of the cell vectors:
Cu 0.750 0.750 0.750  0.10
Cu 0.250 0.250 0.250  0.10
Ba 0.000 0.000 0.000  0.07
W 0.500 0.500 0.500  2.09

---

Entry 2:
Below is a geometry-optimized Ba2CuW structure, with properties calculated at the PBEsol level.

space group = P4/mmm, No. 123
total magnetization = 0.00 μB per cell
total DFT energy (no corrections) = -4.468 eV/atom
calculated formation energy = 110.22 kJ per mole of atoms

Lattice parameters (Å, degrees): 3.186 5.797 5.797 90.00 90.00 90.00
Sites, in units of the cell vectors:
Ba 0.000 0.500 0.000
Ba 0.000 0.000 0.500
Cu 0.500 0.500 0.500
W 0.500 0.000 0.000

---

Entry 3:
Below is a geometry-optimized BaCu2W structure, with properties calculated at the PBEsol level.

space group = F-43m, No. 216
total magnetization = 2.13 μB per cell
distance to the lowest polymorph of the same formula = 800 meV per atom
total DFT energy (no corrections) = -4.739 eV/atom
calculated formation energy = 136.70 kJ per mole of atoms

Lattice parameters (Å, degrees): 4.723 4.723 4.723 60.00 60.00 60.00
Each line ends with the local moment (μB).
Sites, in units of the cell vectors:
Ba 0.500 0.500 0.500  0.08
Cu 0.000 0.000 0.000  0.15
Cu 0.750 0.750 0.750  0.05
W 0.250 0.250 0.250  1.60

---

Entry 4:
Below is a geometry-optimized BaCu2W structure, with properties calculated at the PBEsol level.

space group = P4/mmm, No. 123
total magnetization = 0.00 μB per cell
distance to the lowest polymorph of the same formula = 0 meV per atom
total DFT energy (no corrections) = -5.540 eV/atom
calculated formation energy = 59.48 kJ per mole of atoms

Lattice parameters (Å, degrees): 3.105 3.104 7.679 90.00 90.00 90.00
Sites, in units of the cell vectors:
Cu 0.000 0.000 0.180
Cu 0.000 0.000 0.820
Ba 0.500 0.500 0.500
W 0.500 0.500 0.000

---

Entry 5:
Below is a geometry-optimized BaCuW2 structure, with properties calculated at the PBEsol level.

space group = Imm2, No. 44
total magnetization = 0.00 μB per cell
distance to the lowest polymorph of the same formula = 267 meV per atom
total DFT energy (no corrections) = -7.198 eV/atom
calculated formation energy = 128.02 kJ per mole of atoms

Lattice parameters (Å, degrees): 3.143 5.670 5.866 118.90 105.54 90.00
Sites, in units of the cell vectors:
W 0.010 0.010 0.020
W 0.699 0.199 0.398
Cu 0.291 0.791 0.582
Ba 0.500 0.500 0.001

---

Entry 6:
Below is a geometry-optimized BaZn2CuW structure, with properties calculated at the PBEsol level.

space group = P4/mmm, No. 123
total magnetization = 0.00 μB per cell
total DFT energy (no corrections) = -3.851 eV/atom
calculated formation energy = 81.08 kJ per mole of atoms

Lattice parameters (Å, degrees): 4.594 4.594 4.903 90.00 90.00 90.00
Sites, in units of the cell vectors:
Zn 0.000 0.500 0.000
Zn 0.500 0.000 0.000
Cu 0.000 0.000 0.000
W 0.000 0.000 0.500
Ba 0.500 0.500 0.500

---

Entry 7:
Below is a geometry-optimized BaYCu2 structure, with properties calculated at the PBEsol level.

space group = P4mm, No. 99
total magnetization = 0.00 μB per cell
total DFT energy (no corrections) = -4.294 eV/atom
calculated formation energy = 11.20 kJ per mole of atoms

Lattice parameters (Å, degrees): 3.436 3.436 8.200 90.00 90.00 90.00
Sites, in units of the cell vectors:
Y 0.000 0.000 0.405
Cu 0.500 0.500 0.202
Cu 0.000 0.000 0.080
Ba 0.500 0.500 0.814

---

Entry 8:
Below is a geometry-optimized BaZnCu2 structure, with properties calculated at the PBEsol level.

space group = Cm, No. 8
total magnetization = 0.00 μB per cell
total DFT energy (no corrections) = -3.166 eV/atom
calculated formation energy = -6.34 kJ per mole of atoms

Lattice parameters (Å, degrees): 4.251 4.248 6.076 110.60 90.00 120.03
Sites, in units of the cell vectors:
Cu 0.253 0.505 0.757
Cu 0.938 0.876 0.813
Zn 0.561 0.121 0.682
Ba 0.749 0.498 0.248

---

Entry 9:
Below is a geometry-optimized BaZn2Cu2 structure, with properties calculated at the PBEsol level.

space group = I4/mmm, No. 139
total magnetization = 0.00 μB per cell
total DFT energy (no corrections) = -2.842 eV/atom
calculated formation energy = -4.39 kJ per mole of atoms

Lattice parameters (Å, degrees): 4.518 4.518 5.778 113.02 113.02 90.00
Sites, in units of the cell vectors:
Zn 0.641 0.641 0.281
Zn 0.359 0.359 0.719
Cu 0.750 0.250 0.500
Cu 0.250 0.750 0.500
Ba 0.000 0.000 0.000

---

Entry 10:
Below is a geometry-optimized BaZnCu2 structure, with properties calculated at the PBEsol level.

space group = P4/mmm, No. 123
total magnetization = 0.00 μB per cell
total DFT energy (no corrections) = -2.938 eV/atom
calculated formation energy = 15.65 kJ per mole of atoms

Lattice parameters (Å, degrees): 3.307 3.307 6.996 90.00 90.00 90.00
Sites, in units of the cell vectors:
Ba 0.500 0.500 0.500
Cu 0.000 0.000 0.832
Cu 0.000 0.000 0.168
Zn 0.500 0.500 0.000

---

Entry 11:
Below is a geometry-optimized BaZnCu structure, with properties calculated at the PBEsol level.

space group = P-6m2, No. 187
total magnetization = 0.00 μB per cell
total DFT energy (no corrections) = -2.740 eV/atom
calculated formation energy = -4.99 kJ per mole of atoms

Lattice parameters (Å, degrees): 4.420 4.420 4.469 90.00 90.00 120.00
Sites, in units of the cell vectors:
Zn 0.667 0.333 0.500
Cu 0.333 0.667 0.500
Ba 0.000 0.000 0.000

---

Entry 12:
Below is a geometry-optimized BaZnCu structure, with properties calculated at the PBEsol level.

space group = F-43m, No. 216
total magnetization = 0.00 μB per cell
total DFT energy (no corrections) = -2.486 eV/atom
calculated formation energy = 19.52 kJ per mole of atoms

Lattice parameters (Å, degrees): 4.899 4.899 4.899 60.00 60.00 60.00
Sites, in units of the cell vectors:
Ba 0.500 0.500 0.500
Cu 0.250 0.250 0.250
Zn 0.000 0.000 0.000

---

> The highest total magnetization belongs to which entry?

number 1

---

> Look up the total DFT energy (no corrections) of the tenth one.

-2.938 eV/atom

---

Copy entry 2 word for word.
Below is a geometry-optimized Ba2CuW structure, with properties calculated at the PBEsol level.

space group = P4/mmm, No. 123
total magnetization = 0.00 μB per cell
total DFT energy (no corrections) = -4.468 eV/atom
calculated formation energy = 110.22 kJ per mole of atoms

Lattice parameters (Å, degrees): 3.186 5.797 5.797 90.00 90.00 90.00
Sites, in units of the cell vectors:
Ba 0.000 0.500 0.000
Ba 0.000 0.000 0.500
Cu 0.500 0.500 0.500
W 0.500 0.000 0.000